# AlNi2BO5

Crystalline AlNi2BO5 at its relaxed geometry (GGA+U, Alexandria via LeMat-Bulk).

a b c (Å): 9.296 12.110 2.918
angles (deg): 90.00 90.00 90.00
Fractional coordinates of all 36 atoms:
Al 0.239 0.114 0.000
Al 0.261 0.614 0.000
Al 0.739 0.386 0.000
Al 0.761 0.886 0.000
Ni 0.000 0.000 0.500
Ni 0.000 0.500 0.000
Ni 0.004 0.720 0.500
Ni 0.496 0.220 0.500
Ni 0.500 0.000 0.000
Ni 0.500 0.500 0.500
Ni 0.504 0.780 0.500
Ni 0.996 0.280 0.500
B 0.233 0.861 0.000
B 0.267 0.361 0.000
B 0.733 0.639 0.000
B 0.767 0.139 0.000
O 0.115 0.143 0.500
O 0.119 0.360 0.000
O 0.127 0.579 0.500
O 0.157 0.961 0.000
O 0.161 0.761 0.000
O 0.339 0.261 0.000
O 0.343 0.461 0.000
O 0.373 0.079 0.500
O 0.381 0.860 0.000
O 0.385 0.643 0.500
O 0.615 0.357 0.500
O 0.619 0.140 0.000
O 0.627 0.921 0.500
O 0.657 0.539 0.000
O 0.661 0.739 0.000
O 0.839 0.239 0.000
O 0.843 0.039 0.000
O 0.873 0.421 0.500
O 0.881 0.640 0.000
O 0.885 0.857 0.500

- theoretical density (g/cm3) = 4.75
- offset from the most stable computed form (eV/atom) = 0.0000